# 1
TbErN (PBE, relaxed); crystal system = trigonal; symmetry = No. 156; polymorph energy (0 for the lowest one) = 0.0000 eV/atom; formation energy (no corrections) = -1.046 eV/atom; total magnetic moment = 0.666 μB/f.u.
1.0
3.483 0.000 0.000
-1.741 3.016 0.000
0.000 0.000 5.976
Er N Tb
1 1 1
Cartesian
0.000 2.011 3.308 Er
1.741 1.005 2.032 N
0.000 0.000 0.636 Tb

=====

# 2
Tb2Er4N (PBE, relaxed); crystal system = tetragonal; symmetry = No. 139; formation energy (no corrections) = -0.283 eV/atom; total magnetic moment = 0.000 μB/f.u.
1.0
-3.941 -0.250 2.600
-0.665 -4.455 -1.437
2.387 -5.256 7.412
Tb Er N
2 4 1
Cartesian
-1.518 -6.617 5.660 Tb
-0.701 -3.344 2.915 Tb
1.148 -4.489 5.607 Er
-0.332 -2.228 -0.719 Er
-3.367 -5.473 2.968 Er
-1.971 -0.125 1.300 Er
0.000 0.000 0.000 N

=====

# 3
Tb3ErN (PBE, relaxed); crystal system = cubic; symmetry = No. 221; formation energy (no corrections) = -0.523 eV/atom; total magnetic moment = 0.000 μB/f.u.
1.0
-2.154 3.910 2.194
0.872 -2.023 4.460
4.398 2.316 0.191
Tb N Er
3 1 1
Cartesian
-1.077 1.955 1.097 Tb
0.436 -1.011 2.230 Tb
2.199 1.158 0.095 Tb
0.000 0.000 0.000 N
1.558 2.102 3.422 Er

=====

The records above give, respectively, density of states at the Fermi level values of 2.7, 8.1, 5.6 states/eV per cell.
The records above give, respectively, mass density values of 9.00, 8.47, 8.88 g/cm³.